No. 1
# Ce2TeS (PBE, optimized geometry)
data_Ce2TeS
_cell_length_a 3.8492
_cell_length_b 14.5189
_cell_length_c 7.6226
_cell_angle_alpha 90.00
_cell_angle_beta 90.00
_cell_angle_gamma 90.00
_symmetry_space_group_name_H-M 'C m c m'
_symmetry_Int_Tables_number 63
_symmetry_space_group_name_Hall '-C 2c 2'
loop_
_atom_site_label
_atom_site_type_symbol
_atom_site_fract_x
_atom_site_fract_y
_atom_site_fract_z
Ce1 Ce 0.0000 0.1334 0.0186
Te1 Te 0.0000 0.4816 0.2500
S1 S 0.0000 0.2711 0.7500
# DOS(E_F) in states/eV/f.u.: 12.205
# Uncorrected energy in eV per cell: -99.91
# ΔE to the lowest computed polymorph in meV/atom: 227
# Formation energy from raw total energies in eV per atom: -1.46
# Calculated volume in Å³/cell: 426

***

No. 2
# AlSn3Os (PBE, optimized geometry)
data_AlSn3Os
_cell_length_a 5.1208
_cell_length_b 5.1208
_cell_length_c 5.1208
_cell_angle_alpha 90.00
_cell_angle_beta 90.00
_cell_angle_gamma 90.00
_symmetry_space_group_name_H-M 'P m -3 m'
_symmetry_Int_Tables_number 221
_symmetry_space_group_name_Hall '-P 4 2 3'
loop_
_atom_site_label
_atom_site_type_symbol
_atom_site_fract_x
_atom_site_fract_y
_atom_site_fract_z
Al1 Al 0.0000 0.0000 0.0000
Sn1 Sn 0.0000 0.0000 0.5000
Os1 Os 0.5000 0.5000 0.5000
# DOS(E_F) in states/eV/f.u.: 5.570
# Uncorrected energy in eV per cell: -19.88
# ΔE to the lowest computed polymorph in meV/atom: 941
# Calculated volume in Å³/cell: 134

***

No. 3
# CsKCd2 (PBE, optimized geometry)
data_CsKCd2
_cell_length_a 4.6752
_cell_length_b 4.6752
_cell_length_c 8.5324
_cell_angle_alpha 90.00
_cell_angle_beta 90.00
_cell_angle_gamma 90.00
_symmetry_space_group_name_H-M 'P 4/m m m'
_symmetry_Int_Tables_number 123
_symmetry_space_group_name_Hall '-P 4 2'
loop_
_atom_site_label
_atom_site_type_symbol
_atom_site_fract_x
_atom_site_fract_y
_atom_site_fract_z
Cs1 Cs 0.0000 0.0000 0.0000
K1 K 0.0000 0.0000 0.5000
Cd1 Cd 0.5000 0.5000 0.3207
# DOS(E_F) in states/eV/f.u.: 2.554
# Uncorrected energy in eV per cell: -3.83
# ΔE to the lowest computed polymorph in meV/atom: 52
# Calculated volume in Å³/cell: 186

***

No. 4
# Na3H4Pt2 (PBE, optimized geometry)
data_Na3H4Pt2
_cell_length_a 10.5529
_cell_length_b 3.8266
_cell_length_c 7.8536
_cell_angle_alpha 90.00
_cell_angle_beta 131.19
_cell_angle_gamma 90.00
_symmetry_space_group_name_H-M 'C 1 2/m 1'
_symmetry_Int_Tables_number 12
loop_
_symmetry_equiv_pos_as_xyz
'x,y,z'
'-x,-y,-z'
'-x,y,-z'
'x,-y,z'
'x+1/2,y+1/2,z'
'-x+1/2,-y+1/2,-z'
'-x+1/2,y+1/2,-z'
'x+1/2,-y+1/2,z'
loop_
_atom_site_label
_atom_site_type_symbol
_atom_site_fract_x
_atom_site_fract_y
_atom_site_fract_z
Na1 Na 0.0000 0.0000 0.0000
Na2 Na 0.1585 0.0000 0.7356
H1 H 0.0908 0.5000 0.8490
H2 H 0.1501 0.0000 0.4022
Pt1 Pt 0.1163 0.5000 0.3726
# DOS(E_F) in states/eV/f.u.: 1.873
# Uncorrected energy in eV per cell: -63.87
# ΔE to the lowest computed polymorph in meV/atom: 39
# Calculated volume in Å³/cell: 239

***

No. 5
# Pm4BiTeAs2 (PBE, optimized geometry)
data_Pm4BiTeAs2
_cell_length_a 7.5366
_cell_length_b 4.3516
_cell_length_c 7.6661
_cell_angle_alpha 90.00
_cell_angle_beta 109.05
_cell_angle_gamma 90.00
_symmetry_space_group_name_H-M 'P 1 2/m 1'
_symmetry_Int_Tables_number 10
loop_
_symmetry_equiv_pos_as_xyz
'x,y,z'
'-x,-y,-z'
'-x,y,-z'
'x,-y,z'
loop_
_atom_site_label
_atom_site_type_symbol
_atom_site_fract_x
_atom_site_fract_y
_atom_site_fract_z
Pm1 Pm 0.2402 0.0000 0.2248
Pm2 Pm 0.2573 0.5000 0.7734
Bi1 Bi 0.0000 0.0000 0.5000
Te1 Te 0.5000 0.5000 0.5000
As1 As 0.0000 0.5000 0.0000
As2 As 0.5000 0.0000 0.0000
# DOS(E_F) in states/eV/f.u.: 1.669
# Uncorrected energy in eV per cell: -46.44
# Formation energy from raw total energies in eV per atom: -1.39
# Calculated volume in Å³/cell: 238

***

No. 6
# Ta13Sn3 (PBE, optimized geometry)
data_Ta13Sn3
_cell_length_a 6.9104
_cell_length_b 9.2667
_cell_length_c 9.4611
_cell_angle_alpha 90.00
_cell_angle_beta 90.00
_cell_angle_gamma 90.00
_symmetry_space_group_name_H-M 'A m m 2'
_symmetry_Int_Tables_number 38
loop_
_symmetry_equiv_pos_as_xyz
'x,y,z'
'-x,-y,z'
'-x,y,z'
'x,-y,z'
'x,y+1/2,z+1/2'
'-x,-y+1/2,z+1/2'
'-x,y+1/2,z+1/2'
'x,-y+1/2,z+1/2'
loop_
_atom_site_label
_atom_site_type_symbol
_atom_site_fract_x
_atom_site_fract_y
_atom_site_fract_z
Ta1 Ta 0.0000 0.0000 0.0000
Ta2 Ta 0.0000 0.0000 0.5130
Ta3 Ta 0.0000 0.2440 0.7506
Ta4 Ta 0.2441 0.0000 0.7498
Ta5 Ta 0.2467 0.2483 0.5046
Ta6 Ta 0.5000 0.0000 0.5091
Ta7 Ta 0.5000 0.2456 0.7482
Sn1 Sn 0.2452 0.0000 0.2638
Sn2 Sn 0.5000 0.0000 0.9875
# DOS(E_F) in states/eV/f.u.: 14.927
# Uncorrected energy in eV per cell: -331.43
# Calculated volume in Å³/cell: 606

***

No. 7
# Pm2Dy2Y3 (PBE, optimized geometry)
data_Pm2Dy2Y3
_cell_length_a 17.5977
_cell_length_b 3.5154
_cell_length_c 8.6118
_cell_angle_alpha 90.00
_cell_angle_beta 119.28
_cell_angle_gamma 90.00
_symmetry_space_group_name_H-M 'C 1 2/m 1'
_symmetry_Int_Tables_number 12
loop_
_symmetry_equiv_pos_as_xyz
'x,y,z'
'-x,-y,-z'
'-x,y,-z'
'x,-y,z'
'x+1/2,y+1/2,z'
'-x+1/2,-y+1/2,-z'
'-x+1/2,y+1/2,-z'
'x+1/2,-y+1/2,z'
loop_
_atom_site_label
_atom_site_type_symbol
_atom_site_fract_x
_atom_site_fract_y
_atom_site_fract_z
Pm1 Pm 0.0662 0.0000 0.2201
Dy1 Dy 0.1489 0.5000 0.9662
Y1 Y 0.0000 0.5000 0.5000
Y2 Y 0.2119 0.5000 0.6243
# DOS(E_F) in states/eV/f.u.: 11.185
# Uncorrected energy in eV per cell: -74.48
# ΔE to the lowest computed polymorph in meV/atom: 0
# Calculated volume in Å³/cell: 465